1.
An optimized crystal structure of BaPbClO2. Source: Alexandria, functional PBE-GGA.

a b c (Å): 4.6268 4.6268 8.3055
angles (deg): 90.00 90.00 90.00
Space group P4/mmm (No. 123)
Inequivalent atoms, fractional coordinates:
Ba: 0.0000 0.0000 0.0000 [1 per cell]
Pb: 0.0000 0.0000 0.5000 [1 per cell]
Cl: 0.5000 0.5000 0.5000 [1 per cell]
O: 0.0000 0.5000 0.0000 [2 per cell]

Output
Polymorph energy (0 for the lowest one): 1252.0 meV/atom
Total magnetization: 2.0 Bohr magnetons per cell
E_form (uncorrected): -2.33 eV/f.u.


2.
An optimized crystal structure of BaPd2ClO. Source: Alexandria, functional PBE-GGA.

a b c (Å): 5.7265 5.7265 5.7961
angles (deg): 90.00 90.00 90.00
Space group P4/mmm (No. 123)
Inequivalent atoms, fractional coordinates:
Ba: 0.0000 0.0000 0.0000 [1 per cell]
Pd: 0.0000 0.5000 0.0000 [2 per cell]
Cl: 0.0000 0.0000 0.5000 [1 per cell]
O: 0.5000 0.5000 0.5000 [1 per cell]

Output
Total magnetization: 1.5 Bohr magnetons per cell
E_form (uncorrected): 3.57 eV/f.u.


3.
An optimized crystal structure of BaPrClO2. Source: Alexandria, functional PBE-GGA.

a b c (Å): 4.3712 4.3712 6.8346
angles (deg): 90.00 90.00 90.00
Space group P4mm (No. 99)
Inequivalent atoms, fractional coordinates:
Ba: 0.0000 0.0000 0.0000 [1 per cell]
Pr: 0.5000 0.5000 0.3312 [1 per cell]
Cl: 0.5000 0.5000 0.7528 [1 per cell]
O: 0.0000 0.5000 0.2118 [2 per cell]

Output
Total magnetization: 0.0 Bohr magnetons per cell
E_form (uncorrected): -14.40 eV/f.u.


4.
An optimized crystal structure of Ba6Pt2Cl3O. Source: Alexandria, functional PBE-GGA.

a b c (Å): 7.6172 13.2013 8.3293
angles (deg): 90.00 107.91 90.00
Space group C2/m (No. 12)
Inequivalent atoms, fractional coordinates:
Ba: 0.2246 0.1539 0.2116 [8 per cell]
Ba: 0.2358 0.0000 0.7906 [4 per cell]
Pt: 0.0000 0.3334 0.0000 [4 per cell]
Cl: 0.0000 0.1682 0.5000 [4 per cell]
Cl: 0.0000 0.5000 0.5000 [2 per cell]
O: 0.0000 0.0000 0.0000 [2 per cell]

Output
Total magnetization: 0.0 Bohr magnetons per cell
E_form (uncorrected): -19.22 eV/f.u.


5.
An optimized crystal structure of Ba6Pt2Cl2O. Source: Alexandria, functional PBE-GGA.

a b c (Å): 7.7387 13.2600 8.1738
angles (deg): 90.00 109.91 90.00
Space group C2/m (No. 12)
Inequivalent atoms, fractional coordinates:
Ba: 0.2282 0.0000 0.2955 [4 per cell]
Ba: 0.2336 0.1547 0.7205 [8 per cell]
Pt: 0.0000 0.3296 0.5000 [4 per cell]
Cl: 0.0000 0.1730 0.0000 [4 per cell]
O: 0.0000 0.0000 0.5000 [2 per cell]

Output
Total magnetization: 0.0 Bohr magnetons per cell
E_form (uncorrected): -15.43 eV/f.u.


6.
An optimized crystal structure of Ba2PuCl3O3. Source: Alexandria, functional PBE-GGA.

a b c (Å): 7.9533 7.9533 3.5433
angles (deg): 90.00 90.00 120.00
Space group P-62m (No. 189)
Inequivalent atoms, fractional coordinates:
Ba: 0.3333 0.6667 0.0000 [2 per cell]
Pu: 0.0000 0.0000 0.5000 [1 per cell]
Cl: 0.0000 0.4091 0.5000 [3 per cell]
O: 0.0000 0.8117 0.0000 [3 per cell]

Output
Total magnetization: 3.0 Bohr magnetons per cell
E_form (uncorrected): -19.56 eV/f.u.


7.
An optimized crystal structure of Ba2PuCl4O2. Source: Alexandria, functional PBE-GGA.

a b c (Å): 11.5654 7.8765 5.1632
angles (deg): 90.00 101.13 90.00
Space group C2/m (No. 12)
Inequivalent atoms, fractional coordinates:
Ba: 0.1878 0.0000 0.3194 [4 per cell]
Pu: 0.0000 0.5000 0.0000 [2 per cell]
Cl: 0.1099 0.2239 0.7849 [8 per cell]
O: 0.1370 0.5000 0.2814 [4 per cell]

Output
Total magnetization: 8.0 Bohr magnetons per cell
E_form (uncorrected): -22.16 eV/f.u.


8.
An optimized crystal structure of Rb3Ba2Cl3O2. Source: Alexandria, functional PBE-GGA.

a b c (Å): 5.0397 5.0397 26.9373
angles (deg): 90.00 90.00 90.00
Space group I4/mmm (No. 139)
Inequivalent atoms, fractional coordinates:
Rb: 0.0000 0.0000 0.0000 [2 per cell]
Rb: 0.0000 0.0000 0.3799 [4 per cell]
Ba: 0.0000 0.5000 0.2500 [4 per cell]
Cl: 0.0000 0.0000 0.1297 [4 per cell]
Cl: 0.0000 0.0000 0.5000 [2 per cell]
O: 0.0000 0.0000 0.2785 [4 per cell]

Output
Total magnetization: 0.0 Bohr magnetons per cell
E_form (uncorrected): -20.38 eV/f.u.


9.
An optimized crystal structure of Ba2ReCl2O4. Source: Alexandria, functional PBE-GGA.

a b c (Å): 6.4607 6.4607 8.1030
angles (deg): 90.00 90.00 90.00
Space group I4/mmm (No. 139)
Inequivalent atoms, fractional coordinates:
Ba: 0.0000 0.5000 0.2500 [4 per cell]
Re: 0.0000 0.0000 0.0000 [2 per cell]
Cl: 0.0000 0.0000 0.2968 [4 per cell]
O: 0.2075 0.2075 0.0000 [8 per cell]

Output
Total magnetization: 2.0 Bohr magnetons per cell
E_form (uncorrected): -17.67 eV/f.u.


10.
An optimized crystal structure of Ba3ReCl2O6. Source: Alexandria, functional PBE-GGA.

a b c (Å): 13.1453 7.1825 5.8184
angles (deg): 90.00 93.97 90.00
Space group C2/m (No. 12)
Inequivalent atoms, fractional coordinates:
Ba: 0.0000 0.0000 0.0000 [2 per cell]
Ba: 0.2500 0.2500 0.5000 [4 per cell]
Re: 0.0000 0.5000 0.5000 [2 per cell]
Cl: 0.2184 0.0000 0.9116 [4 per cell]
O: 0.0476 0.3027 0.3106 [8 per cell]
O: 0.1298 0.5000 0.6572 [4 per cell]

Output
Total magnetization: 2.1 Bohr magnetons per cell
E_form (uncorrected): -23.57 eV/f.u.


In order of appearance, total DFT energy (no corrections) = -3.944 -3.108 -6.573 -4.445 -4.336 -6.461 -6.404 -4.259 -6.388 -6.269 eV per atom.